w) Compound: Ca3AsO
Source: the Alexandria database
Functional: PBE-GGA
Structure: relaxed

Summary:
D(E_F), states/eV/f.u.: 3.0
Volume, A^3/atom: 21.0

Lattice parameters (Å, degrees): 4.716 4.716 4.716 90.00 90.00 90.00
Element x y z (fractional)
Ca 0.000 0.000 0.500
Ca 0.000 0.500 0.000
Ca 0.500 0.000 0.000
As 0.500 0.500 0.500
O 0.000 0.000 0.000

x) Compound: Ca3AsO
Source: the Alexandria database
Functional: PBE-GGA
Structure: relaxed

Summary:
D(E_F), states/eV/f.u.: 0.5
Volume, A^3/atom: 22.9

Lattice parameters (Å, degrees): 7.145 6.277 10.317 90.00 99.01 90.00
Element x y z (fractional)
Ca 0.050 0.051 0.156
Ca 0.050 0.449 0.656
Ca 0.205 0.550 0.072
Ca 0.205 0.950 0.572
Ca 0.373 0.194 0.887
Ca 0.373 0.306 0.387
Ca 0.627 0.694 0.613
Ca 0.627 0.806 0.113
Ca 0.795 0.050 0.428
Ca 0.795 0.450 0.928
Ca 0.950 0.551 0.344
Ca 0.950 0.949 0.844
As 0.367 0.712 0.841
As 0.367 0.788 0.341
As 0.633 0.212 0.659
As 0.633 0.288 0.159
O 0.075 0.243 0.965
O 0.075 0.257 0.465
O 0.925 0.743 0.535
O 0.925 0.757 0.035

Stability summary: most stable x), least stable w).

w) Compound: CaAsPO2
Source: the Alexandria database
Functional: PBE-GGA
Structure: relaxed

Summary:
D(E_F), states/eV/f.u.: 2.8
Volume, A^3/atom: 15.2

Lattice parameters (Å, degrees): 3.989 3.989 4.763 90.00 90.00 90.00
Element x y z (fractional)
Ca 0.000 0.000 0.000
As 0.500 0.500 0.500
P 0.500 0.500 0.000
O 0.000 0.500 0.500
O 0.500 0.000 0.500

x) Compound: CaAsPO2
Source: the Alexandria database
Functional: PBE-GGA
Structure: relaxed

Summary:
D(E_F), states/eV/f.u.: 4.1
Volume, A^3/atom: 20.6

Lattice parameters (Å, degrees): 4.160 4.160 5.957 90.00 90.00 90.00
Element x y z (fractional)
Ca 0.000 0.000 0.000
As 0.500 0.500 0.500
P 0.000 0.000 0.500
O 0.000 0.500 0.000
O 0.500 0.000 0.000

Stability summary: most stable w), least stable x).

w) Compound: CaAsSe2O
Source: the Alexandria database
Functional: PBE-GGA
Structure: relaxed

Summary:
D(E_F), states/eV/f.u.: 14.9
Volume, A^3/atom: 31.7

Lattice parameters (Å, degrees): 5.326 5.326 5.594 90.00 90.00 90.00
Element x y z (fractional)
Ca 0.000 0.000 0.000
As 0.000 0.000 0.500
Se 0.000 0.500 0.000
Se 0.500 0.000 0.000
O 0.500 0.500 0.500

x) Compound: CaAsSe2O
Source: the Alexandria database
Functional: PBE-GGA
Structure: relaxed

Summary:
D(E_F), states/eV/f.u.: 4.0
Volume, A^3/atom: 19.4

Lattice parameters (Å, degrees): 4.777 4.777 4.258 90.00 90.00 90.00
Element x y z (fractional)
Ca 0.000 0.000 0.000
As 0.500 0.500 0.000
Se 0.000 0.500 0.500
Se 0.500 0.000 0.500
O 0.500 0.500 0.500

Stability summary: most stable x), least stable w).

w) Compound: CaTlAs2O
Source: the Alexandria database
Functional: PBE-GGA
Structure: relaxed

Summary:
D(E_F), states/eV/f.u.: 5.8
Volume, A^3/atom: 25.2

Lattice parameters (Å, degrees): 5.502 5.502 4.160 90.00 90.00 90.00
Element x y z (fractional)
Ca 0.000 0.000 0.000
Tl 0.500 0.500 0.500
As 0.000 0.500 0.500
As 0.500 0.000 0.500
O 0.500 0.500 0.000

x) Compound: CaTlAs2O
Source: the Alexandria database
Functional: PBE-GGA
Structure: relaxed

Summary:
D(E_F), states/eV/f.u.: 6.7
Volume, A^3/atom: 26.9

Lattice parameters (Å, degrees): 5.659 5.659 4.195 90.00 90.00 90.00
Element x y z (fractional)
Ca 0.000 0.000 0.000
Tl 0.500 0.500 0.500
As 0.000 0.500 0.000
As 0.500 0.000 0.000
O 0.000 0.000 0.500

Stability summary: most stable x), least stable w).